Ba2MgCr | Alexandria via LeMat-Bulk | PBE | relaxed; symmetry = Pmmm, No. 47; calculated formation energy = 0.40 eV/atom; V = 39.37 Å³ per atom; density of states at the Fermi level = 4.8 states/eV per cell; E_tot = -3.363 eV/atom
1.0
4.2264 0.0000 0.0000
0.0000 4.2809 0.0000
0.0000 0.0000 8.7040
Ba Mg Cr
2 1 1
direct
0.0000 0.0000 0.2397
0.0000 0.0000 0.7603
0.5000 0.5000 0.5000
0.5000 0.5000 0.0000

=====

LuHfCdTc | Alexandria via LeMat-Bulk | PBE | relaxed; symmetry = F-43m, No. 216; calculated formation energy = -0.15 eV/atom; V = 20.16 Å³ per atom; density of states at the Fermi level = 3.0 states/eV per cell; E_tot = -6.585 eV/atom
1.0
0.0000 3.4288 3.4288
3.4288 0.0000 3.4288
3.4288 3.4288 0.0000
Lu Hf Cd Tc
1 1 1 1
direct
0.0000 0.0000 0.0000
0.5000 0.5000 0.5000
0.2500 0.2500 0.2500
0.7500 0.7500 0.7500

=====

LaTlNi | Alexandria via LeMat-Bulk | PBE | relaxed; symmetry = F-43m, No. 216; calculated formation energy = -0.25 eV/atom; V = 25.49 Å³ per atom; density of states at the Fermi level = 4.5 states/eV per cell; E_tot = -4.603 eV/atom
1.0
0.0000 3.3689 3.3689
3.3689 0.0000 3.3689
3.3689 3.3689 0.0000
La Tl Ni
1 1 1
direct
0.0000 0.0000 0.0000
0.5000 0.5000 0.5000
0.2500 0.2500 0.2500

=====

ZrInPd2I | Alexandria via LeMat-Bulk | PBE | relaxed; symmetry = P4/mmm, No. 123; uncorrected formation energy = 0.845 eV/atom; V = 28.08 Å³ per atom; density of states at the Fermi level = 5.1 states/eV per cell; E_tot = -3.799 eV/atom
1.0
4.8634 0.0000 0.0000
0.0000 4.8634 0.0000
0.0000 0.0000 5.9350
Zr In Pd I
1 1 2 1
direct
0.0000 0.0000 0.0000
0.5000 0.5000 0.0000
0.0000 0.5000 0.5000
0.5000 0.0000 0.5000
0.5000 0.5000 0.5000